No. 1
The following is a DFT calculation (PBE) of a relaxed LiMnTc2 crystal.

abc: 2.5902 2.5902 8.7263
angles: 90.00 90.00 108.14
Atoms (fractional coordinates):
1 Li 0.0000 0.0000 0.0000
2 Mn 0.0000 0.0000 0.5000
3 Tc 0.5000 0.5000 0.2661
4 Tc 0.5000 0.5000 0.7339

- relative energy among the computed polymorphs (meV/atom) = 0
- size of the total moment (μB/f.u.) = 1.96
- Fermi-level density of states (states/eV/cell) = 2.9
- V (Å³/atom) = 13.909
- energy relative to the elements (eV/f.u.) = 0.77

No. 2
The following is a DFT calculation (PBE) of a relaxed LiMn2Tc crystal.

abc: 4.7212 4.7212 4.7212
angles: 144.22 129.01 63.86
Atoms (fractional coordinates):
1 Li 0.0000 0.0000 0.0000
2 Mn 0.2594 0.7594 0.5000
3 Mn 0.7406 0.2406 0.5000
4 Tc 0.5000 0.5000 0.0000

- size of the total moment (μB/f.u.) = 0.00
- Fermi-level density of states (states/eV/cell) = 4.4
- V (Å³/atom) = 11.811
- energy relative to the elements (eV/f.u.) = 1.25